# 1
The following is a DFT calculation (PBE) of crystalline Li3In2PdO6 at its relaxed geometry.

Cell and atoms, written as CIF:
```
data_Li3In2PdO6
_chemical_formula_sum 'Li6 In4 Pd2 O12'
_cell_length_a 5.469
_cell_length_b 9.625
_cell_length_c 5.289
_cell_angle_alpha 90.00
_cell_angle_beta 108.76
_cell_angle_gamma 90.00
_symmetry_space_group_name_H-M 'C 1 2/m 1'
_symmetry_Int_Tables_number 12
loop_
_symmetry_equiv_pos_as_xyz
'x,y,z'
'-x,-y,-z'
'-x,y,-z'
'x,-y,z'
'x+1/2,y+1/2,z'
'-x+1/2,-y+1/2,-z'
'-x+1/2,y+1/2,-z'
'x+1/2,-y+1/2,z'
loop_
_atom_site_label
_atom_site_type_symbol
_atom_site_fract_x
_atom_site_fract_y
_atom_site_fract_z
Li1 Li 0.000 0.000 0.000
Li2 Li 0.000 0.345 0.000
In1 In 0.000 0.170 0.500
Pd1 Pd 0.000 0.500 0.500
O1 O 0.240 0.500 0.271
O2 O 0.248 0.334 0.748
```

***

# 2
The following is a DFT calculation (PBE) of crystalline Li4InPd3O8 at its relaxed geometry.

Cell and atoms, written as CIF:
```
data_Li4InPd3O8
_chemical_formula_sum 'Li8 In2 Pd6 O16'
_cell_length_a 11.236
_cell_length_b 6.009
_cell_length_c 5.828
_cell_angle_alpha 90.00
_cell_angle_beta 116.54
_cell_angle_gamma 90.00
_symmetry_space_group_name_H-M 'C 1 2/m 1'
_symmetry_Int_Tables_number 12
loop_
_symmetry_equiv_pos_as_xyz
'x,y,z'
'-x,-y,-z'
'-x,y,-z'
'x,-y,z'
'x+1/2,y+1/2,z'
'-x+1/2,-y+1/2,-z'
'-x+1/2,y+1/2,-z'
'x+1/2,-y+1/2,z'
loop_
_atom_site_label
_atom_site_type_symbol
_atom_site_fract_x
_atom_site_fract_y
_atom_site_fract_z
Li1 Li 0.000 0.000 0.000
Li2 Li 0.000 0.500 0.000
Li3 Li 0.250 0.250 0.500
In1 In 0.000 0.000 0.500
Pd1 Pd 0.000 0.500 0.500
Pd2 Pd 0.250 0.250 0.000
O1 O 0.035 0.261 0.284
O2 O 0.202 0.500 0.732
O3 O 0.222 0.000 0.745
```

***

# 3
The following is a DFT calculation (PBE) of crystalline Li2InPdO4 at its relaxed geometry.

Cell and atoms, written as CIF:
```
data_Li2InPdO4
_chemical_formula_sum 'Li2 In1 Pd1 O4'
_cell_length_a 5.410
_cell_length_b 3.123
_cell_length_c 5.537
_cell_angle_alpha 90.00
_cell_angle_beta 111.53
_cell_angle_gamma 90.00
_symmetry_space_group_name_H-M 'P 1 2/m 1'
_symmetry_Int_Tables_number 10
loop_
_symmetry_equiv_pos_as_xyz
'x,y,z'
'-x,-y,-z'
'-x,y,-z'
'x,-y,z'
loop_
_atom_site_label
_atom_site_type_symbol
_atom_site_fract_x
_atom_site_fract_y
_atom_site_fract_z
Li1 Li 0.000 0.000 0.000
Li2 Li 0.000 0.500 0.500
In1 In 0.500 0.000 0.500
Pd1 Pd 0.500 0.500 0.000
O1 O 0.240 0.500 0.267
O2 O 0.275 0.000 0.773
```

***

# 4
The following is a DFT calculation (PBE) of crystalline LiPm12In4O3 at its relaxed geometry.

Cell and atoms, written as CIF:
```
data_LiPm12In4O3
_chemical_formula_sum 'Li2 Pm24 In8 O6'
_cell_length_a 10.126
_cell_length_b 10.126
_cell_length_c 10.126
_cell_angle_alpha 90.00
_cell_angle_beta 90.00
_cell_angle_gamma 90.00
_symmetry_space_group_name_H-M 'I m -3 m'
_symmetry_Int_Tables_number 229
_symmetry_space_group_name_Hall '-I 4 2 3'
loop_
_atom_site_label
_atom_site_type_symbol
_atom_site_fract_x
_atom_site_fract_y
_atom_site_fract_z
Li1 Li 0.000 0.000 0.000
Pm1 Pm 0.000 0.000 0.265
Pm2 Pm 0.000 0.250 0.500
In1 In 0.250 0.250 0.250
O1 O 0.000 0.000 0.500
```

***

One value per record, in order, for electronic total energy: -5.2784; -5.2232; -5.2390; -5.1812 eV/atom.
One value per record, in order, for energy relative to the elements, uncorrected: -1.432; -1.121; -1.290; -0.944 eV/atom.